A relaxed structure of Cs3Rb2ScF9, computed with GGA-PBE.

Unit cell a=6.9704 b=6.9704 c=8.4158 alpha=90.00 beta=90.00 gamma=120.00
Last column: magnetic moment on the atom in μB.
Atoms (fractional coordinates):
Cs: 0.3333 0.6667 0.7105  0.00
Cs: 0.0000 0.0000 0.0000  0.00
Cs: 0.6667 0.3333 0.2895  0.00
Rb: 0.3333 0.6667 0.2108  0.01
Rb: 0.6667 0.3333 0.7892  0.01
Sc: 0.0000 0.0000 0.5000  -0.01
F: 0.8632 0.1368 0.6421  0.07
F: 0.8632 0.7265 0.6421  0.07
F: 0.2735 0.1368 0.6421  0.07
F: 0.7265 0.8632 0.3579  0.07
F: 0.1368 0.2735 0.3579  0.07
F: 0.1368 0.8632 0.3579  0.07
F: 0.5000 0.0000 0.0000  0.23
F: 0.0000 0.5000 0.0000  0.23
F: 0.5000 0.5000 0.0000  0.23

**Magnetization**: 1.3 μB/f.u.
**Formation energy (no corrections)**: -43.33 eV/f.u.

A relaxed structure of VH5Pd4, computed with GGA-PBE.

Unit cell a=4.1231 b=5.0390 c=5.0390 alpha=80.36 beta=65.85 gamma=65.85
Last column: magnetic moment on the atom in μB.
Atoms (fractional coordinates):
V: 0.0012 0.0000 0.0000  1.93
H: 0.8913 0.4116 0.8074  -0.01
H: 0.3029 0.8074 0.5884  -0.01
H: 0.6986 0.1926 0.4116  -0.01
H: 0.1103 0.5884 0.1926  -0.01
H: 0.5010 0.0000 0.0000  -0.01
Pd: 0.3946 0.4030 0.8102  0.03
Pd: 0.7976 0.8102 0.5970  0.03
Pd: 0.2049 0.1898 0.4030  0.03
Pd: 0.6079 0.5970 0.1898  0.03

**DFT total energy**: -47.4 eV per formula unit
**Magnetization**: 2.2 μB/f.u.

A relaxed structure of Ac4BiP2, computed with GGA-PBE.

Unit cell a=4.5342 b=7.6337 c=15.1076 alpha=90.00 beta=90.00 gamma=107.28
Last column: magnetic moment on the atom in μB.
Atoms (fractional coordinates):
Ac: 0.7670 0.5339 0.1144  0.05
Ac: 0.7670 0.5339 0.3856  0.05
Ac: 0.2330 0.4661 0.8856  0.05
Ac: 0.2330 0.4661 0.6144  0.05
Ac: 0.9347 0.8694 0.7500  0.09
Ac: 0.0653 0.1306 0.2500  0.09
Ac: 0.5000 0.0000 0.0000  0.00
Ac: 0.5000 0.0000 0.5000  0.00
Bi: 0.6082 0.2164 0.7500  -0.01
Bi: 0.3918 0.7836 0.2500  -0.01
P: 0.1355 0.2710 0.4396  0.00
P: 0.8645 0.7290 0.9396  0.00
P: 0.1355 0.2710 0.0604  0.00
P: 0.8645 0.7290 0.5604  0.00

**E_form**: -1.1089 eV per atom
**Magnetization**: 0.8 μB/f.u.

A relaxed structure of TaCdSeN2, computed with GGA-PBE.

Unit cell a=4.0590 b=4.0590 c=5.1504 alpha=90.00 beta=90.00 gamma=90.00
Atoms (fractional coordinates):
N: 0.0000 0.5000 0.0000
N: 0.5000 0.0000 0.0000
Cd: 0.0000 0.0000 0.0000
Se: 0.0000 0.0000 0.5000
Ta: 0.5000 0.5000 0.5000

**Offset from the most stable computed form**: 1.9808 eV per atom
**Magnetization**: 0.0 μB/f.u.
**Formation energy (no corrections)**: 10.02 eV/f.u.

A relaxed structure of BSe2IN, computed with GGA-PBE.

Unit cell a=8.4902 b=8.4902 c=2.6239 alpha=90.00 beta=90.00 gamma=90.00
Last column: magnetic moment on the atom in μB.
Atoms (fractional coordinates):
I: 0.5000 0.5000 0.5000  -0.13
B: 0.0000 0.0000 0.0000  0.00
Se: 0.0000 0.5000 0.0000  0.17
Se: 0.5000 0.0000 0.0000  0.17
N: 0.0000 0.0000 0.5000  0.00

**Offset from the most stable computed form**: 0.0000 eV per atom
**Magnetization**: 0.3 μB/f.u.
**Formation energy (no corrections)**: 1.25 eV/f.u.

A relaxed structure of Pa2Fe3Co, computed with GGA-PBE.

Unit cell a=4.9048 b=4.9048 c=8.6905 alpha=90.00 beta=90.00 gamma=120.00
Last column: magnetic moment on the atom in μB.
Atoms (fractional coordinates):
Pa: 0.6667 0.3333 0.4387  -0.52
Pa: 0.3333 0.6667 0.5613  -0.52
Pa: 0.3333 0.6667 0.9387  -0.52
Pa: 0.6667 0.3333 0.0613  -0.52
Fe: 0.1656 0.3313 0.2500  1.64
Fe: 0.3313 0.1656 0.7500  1.64
Fe: 0.8344 0.6687 0.7500  1.64
Fe: 0.1656 0.8344 0.2500  1.64
Fe: 0.8344 0.1656 0.7500  1.64
Fe: 0.6687 0.8344 0.2500  1.64
Co: 0.0000 0.0000 0.5000  0.66
Co: 0.0000 0.0000 0.0000  0.66

**E_form**: -0.2150 eV per atom
**Magnetization**: 4.4 μB/f.u.